Entry from the Alexandria database: a geometry-optimized Sr2ZnIrI structure (PBE).

a b c (Å): 5.8555 5.8555 4.8526
angles (deg): 90.00 90.00 90.00
With the nearest neighbours (Å) after each atom.
Sites, in units of the cell vectors:
I1 0.5000 0.5000 0.5000  8 Sr 3.80, 4 Zn 4.14
Sr1 0.0000 0.5000 0.0000  2 Ir 2.93
Sr2 0.5000 0.0000 0.0000  2 Ir 2.93
Zn1 0.0000 0.0000 0.5000  2 Ir 2.43
Ir1 0.0000 0.0000 0.0000  2 Zn 2.43

## Properties
* VASP energy: -3.545 eV/atom
* crystal system: tetragonal
* space group: P4/mmm, No. 123

=====

Entry from the Alexandria database: a geometry-optimized Sr2ZrIrI structure (PBE).

a b c (Å): 6.0780 4.9742 6.0780
angles (deg): 90.00 90.00 90.00
With the nearest neighbours (Å) after each atom.
Sites, in units of the cell vectors:
I1 0.0000 0.0000 0.0000  2 Ir 2.49
Sr1 0.0000 0.0000 0.5000  2 I 3.04
Sr2 0.5000 0.0000 0.0000  2 I 3.04
Ir1 0.0000 0.5000 0.0000  2 I 2.49
Zr1 0.5000 0.5000 0.5000  8 Sr 3.93, 4 Ir 4.30

## Properties
* VASP energy: -3.688 eV/atom
* crystal system: tetragonal
* space group: P4/mmm, No. 123

=====

Entry from the Alexandria database: a geometry-optimized TaIrI2 structure (PBE).

a b c (Å): 6.3361 6.3361 7.1855
angles (deg): 63.84 63.84 90.00
With the nearest neighbours (Å) after each atom.
Sites, in units of the cell vectors:
I1 0.6386 0.1250 0.2500  2 Ir 2.59, 2 Ta 2.70
I2 0.1114 0.6250 0.2500  2 Ir 2.59, 2 Ta 2.70
I3 0.3750 0.3614 0.7500  2 Ir 2.59, 2 Ta 2.70
I4 0.8750 0.8886 0.7500  2 Ir 2.59, 2 Ta 2.70
Ir1 0.0000 0.0000 0.0000  4 I 2.59
Ir2 0.7500 0.2500 0.5000  4 I 2.59
Ta1 0.5000 0.5000 0.0000  4 I 2.70
Ta2 0.2500 0.7500 0.5000  4 I 2.70

## Properties
* VASP energy: -4.761 eV/atom
* crystal system: tetragonal
* space group: I-42d, No. 122

=====

Entry from the Alexandria database: a geometry-optimized TaIr2I2 structure (PBE).

a b c (Å): 3.4647 3.4647 10.4441
angles (deg): 80.45 80.45 90.00
With the nearest neighbours (Å) after each atom.
Sites, in units of the cell vectors:
I1 0.4144 0.4144 0.1713  4 Ta 3.00
I2 0.5856 0.5856 0.8287  4 Ta 3.00
Ir1 0.7500 0.2500 0.5000  4 Ir 2.45
Ir2 0.2500 0.7500 0.5000  4 Ir 2.45
Ta1 0.0000 0.0000 0.0000  8 I 3.00

## Properties
* VASP energy: -5.634 eV/atom
* crystal system: tetragonal
* space group: I4/mmm, No. 139